## ScUSb (PBE-GGA)

Data for a relaxed ScUSb crystal.

Geometry as POSCAR:
```
ScUSb
1.0
0.000 3.474 3.474
3.474 0.000 3.474
3.474 3.474 0.000
Sc U Sb
1 1 1
Direct
0.000 0.000 0.000
0.250 0.250 0.250
0.750 0.750 0.750
```

Calculated values
Raw total energy = -6.901 eV per atom
Mass density = 8.0 g/cm³
Total magnetization = 5.46 μB per formula unit
V = 27.9 Å³/atom